DFT (PBE) results for a relaxed structure of Cs3AuSe.

Values from the calculation:
For the energy above the most stable polymorph in this dataset, the calculation gives 0.110 eV/atom. The total energy comes out at -2.49 eV per atom. For the uncorrected formation energy, the calculation gives -60 kJ/mol of atoms. As for the spin magnetization: 0.00 μB per cell.

Cell lengths 6.892, 6.892, 6.892 Å; angles 90.00, 90.00, 90.00 degrees
Positions (direct):
Cs (0.000, 0.000, 0.500)
Cs (0.000, 0.500, 0.000)
Cs (0.500, 0.000, 0.000)
Au (0.500, 0.500, 0.500)
Se (0.000, 0.000, 0.000)

***

DFT (PBE) results for a relaxed structure of Pr3Si2Ir.

Values from the calculation:
The total energy comes out at -6.41 eV per atom. For the uncorrected formation energy, the calculation gives -71 kJ/mol of atoms. As for the spin magnetization: 0.00 μB per cell.

Cell lengths 11.984, 4.303, 11.783 Å; angles 90.00, 90.00, 90.00 degrees
Positions (direct):
Pr (0.060, 0.250, 0.122)
Pr (0.118, 0.750, 0.558)
Pr (0.209, 0.250, 0.802)
Pr (0.291, 0.750, 0.302)
Pr (0.382, 0.250, 0.058)
Pr (0.440, 0.750, 0.622)
Pr (0.560, 0.250, 0.378)
Pr (0.618, 0.750, 0.942)
Pr (0.709, 0.250, 0.698)
Pr (0.791, 0.750, 0.198)
Pr (0.882, 0.250, 0.442)
Pr (0.940, 0.750, 0.878)
Si (0.030, 0.750, 0.316)
Si (0.198, 0.750, 0.993)
Si (0.302, 0.250, 0.493)
Si (0.470, 0.250, 0.816)
Si (0.530, 0.750, 0.184)
Si (0.698, 0.750, 0.507)
Si (0.802, 0.250, 0.007)
Si (0.970, 0.250, 0.684)
Ir (0.131, 0.250, 0.363)
Ir (0.369, 0.750, 0.863)
Ir (0.631, 0.250, 0.137)
Ir (0.869, 0.750, 0.637)

***

DFT (PBE) results for a relaxed structure of TbTh2PtN4.

Values from the calculation:
The total energy comes out at -8.40 eV per atom. For the uncorrected formation energy, the calculation gives -101 kJ/mol of atoms. As for the spin magnetization: 0.00 μB per cell.

Cell lengths 6.244, 6.244, 12.178 Å; angles 90.00, 90.00, 147.36 degrees
Positions (direct):
Tb (0.116, 0.884, 0.750)
Tb (0.884, 0.116, 0.250)
Th (0.371, 0.629, 0.557)
Th (0.371, 0.629, 0.943)
Th (0.629, 0.371, 0.057)
Th (0.629, 0.371, 0.443)
Pt (0.149, 0.851, 0.250)
Pt (0.851, 0.149, 0.750)
N (0.000, 0.000, 0.000)
N (0.000, 0.000, 0.500)
N (0.278, 0.722, 0.119)
N (0.278, 0.722, 0.381)
N (0.466, 0.534, 0.750)
N (0.534, 0.466, 0.250)
N (0.722, 0.278, 0.619)
N (0.722, 0.278, 0.881)

***

DFT (PBE) results for a relaxed structure of Y2Rh3Pb2.

Values from the calculation:
For the energy above the most stable polymorph in this dataset, the calculation gives 0.074 eV/atom. The total energy comes out at -6.48 eV per atom. Its formation energy is -0.42 eV per atom. As for the spin magnetization: 0.00 μB per cell.

Cell lengths 8.180, 8.180, 8.180 Å; angles 34.08, 34.08, 34.08 degrees
Positions (direct):
Y (0.123, 0.123, 0.123)
Y (0.877, 0.877, 0.877)
Rh (0.000, 0.000, 0.000)
Rh (0.254, 0.254, 0.254)
Rh (0.746, 0.746, 0.746)
Pb (0.383, 0.383, 0.383)
Pb (0.617, 0.617, 0.617)